# BaHfReNi2 meta-GGA SCAN PBEsol geometry
data_BaHfReNi2
_cell_length_a 4.7756
_cell_length_b 4.7756
_cell_length_c 4.8619
_cell_angle_alpha 90.00
_cell_angle_beta 90.00
_cell_angle_gamma 90.00
_space_group_name_H-M_alt 'P 4/m m m'
_space_group_IT_number 123
_space_group_name_Hall '-P 4 2'
loop_
_atom_site_label
_atom_site_type_symbol
_atom_site_fract_x
_atom_site_fract_y
_atom_site_fract_z
_atom_site_occupancy
Ba1 Ba 0.0000 0.0000 0.0000 1
Hf1 Hf 0.5000 0.5000 0.0000 1
Re1 Re 0.5000 0.5000 0.5000 1
Ni1 Ni 0.0000 0.5000 0.5000 1
# **Fermi-level density of states**: 0.95 states/eV/atom
# **E_form**: 0.710 eV/atom
# **Uncorrected energy**: -40.423 eV per atom


# Ba6HfO8 meta-GGA SCAN PBEsol geometry
data_Ba6HfO8
_cell_length_a 10.7340
_cell_length_b 10.7340
_cell_length_c 10.7340
_cell_angle_alpha 90.00
_cell_angle_beta 90.00
_cell_angle_gamma 90.00
_space_group_name_H-M_alt 'F m -3 m'
_space_group_IT_number 225
_space_group_name_Hall '-F 4 2 3'
loop_
_atom_site_label
_atom_site_type_symbol
_atom_site_fract_x
_atom_site_fract_y
_atom_site_fract_z
_atom_site_occupancy
Ba1 Ba 0.0000 0.2500 0.2500 1
Hf1 Hf 0.0000 0.0000 0.0000 1
O1 O 0.0000 0.0000 0.1990 1
O2 O 0.2500 0.2500 0.2500 1
# **Fermi-level density of states**: 0.00 states/eV/atom
# **Uncorrected energy**: -26.289 eV per atom
# **ΔE_f (raw)**: -44.5 eV/f.u.


# Ba4Hf3O10 meta-GGA SCAN PBEsol geometry
data_Ba4Hf3O10
_cell_length_a 4.1521
_cell_length_b 4.1521
_cell_length_c 30.0254
_cell_angle_alpha 90.00
_cell_angle_beta 90.00
_cell_angle_gamma 90.00
_space_group_name_H-M_alt 'I 4/m m m'
_space_group_IT_number 139
_space_group_name_Hall '-I 4 2'
loop_
_atom_site_label
_atom_site_type_symbol
_atom_site_fract_x
_atom_site_fract_y
_atom_site_fract_z
_atom_site_occupancy
Ba1 Ba 0.0000 0.0000 0.0688 1
Ba2 Ba 0.0000 0.0000 0.2035 1
Hf1 Hf 0.0000 0.0000 0.3607 1
Hf2 Hf 0.0000 0.0000 0.5000 1
O1 O 0.0000 0.0000 0.2920 1
O2 O 0.0000 0.0000 0.4308 1
O3 O 0.0000 0.5000 0.0000 1
O4 O 0.0000 0.5000 0.1383 1
# **Fermi-level density of states**: 0.00 states/eV/atom
# **Uncorrected energy**: -27.618 eV per atom
# **ΔE_f (raw)**: -61.0 eV/f.u.


# BaHfO3 meta-GGA SCAN PBEsol geometry
data_BaHfO3
_cell_length_a 4.1542
_cell_length_b 4.1542
_cell_length_c 4.1542
_cell_angle_alpha 90.00
_cell_angle_beta 90.00
_cell_angle_gamma 90.00
_space_group_name_H-M_alt 'P m -3 m'
_space_group_IT_number 221
_space_group_name_Hall '-P 4 2 3'
loop_
_atom_site_label
_atom_site_type_symbol
_atom_site_fract_x
_atom_site_fract_y
_atom_site_fract_z
_atom_site_occupancy
Ba1 Ba 0.0000 0.0000 0.0000 1
Hf1 Hf 0.5000 0.5000 0.5000 1
O1 O 0.0000 0.5000 0.5000 1
# **Fermi-level density of states**: 0.00 states/eV/atom
# **Uncorrected energy**: -27.872 eV per atom
# **ΔE_f (raw)**: -18.4 eV/f.u.


# BaHfPO2 meta-GGA SCAN PBEsol geometry
data_BaHfPO2
_cell_length_a 4.1963
_cell_length_b 4.1963
_cell_length_c 5.1538
_cell_angle_alpha 90.00
_cell_angle_beta 90.00
_cell_angle_gamma 90.00
_space_group_name_H-M_alt 'P 4/m m m'
_space_group_IT_number 123
_space_group_name_Hall '-P 4 2'
loop_
_atom_site_label
_atom_site_type_symbol
_atom_site_fract_x
_atom_site_fract_y
_atom_site_fract_z
_atom_site_occupancy
Ba1 Ba 0.0000 0.0000 0.0000 1
Hf1 Hf 0.5000 0.5000 0.5000 1
P1 P 0.5000 0.5000 0.0000 1
O1 O 0.0000 0.5000 0.5000 1
# **Fermi-level density of states**: 0.51 states/eV/atom
# **Uncorrected energy**: -27.320 eV per atom
# **ΔE_f (raw)**: -11.5 eV/f.u.


# BaSrHf2O6 meta-GGA SCAN PBEsol geometry
data_BaSrHf2O6
_cell_length_a 5.7918
_cell_length_b 5.7918
_cell_length_c 8.2929
_cell_angle_alpha 90.00
_cell_angle_beta 90.00
_cell_angle_gamma 90.00
_space_group_name_H-M_alt 'I -4 2 m'
_space_group_IT_number 121
_space_group_name_Hall 'I -4 2'
loop_
_atom_site_label
_atom_site_type_symbol
_atom_site_fract_x
_atom_site_fract_y
_atom_site_fract_z
_atom_site_occupancy
Ba1 Ba 0.0000 0.0000 0.0000 1
Sr1 Sr 0.0000 0.0000 0.5000 1
Hf1 Hf 0.0000 0.5000 0.2500 1
O1 O 0.0000 0.5000 0.0000 1
O2 O 0.2123 0.2123 0.2606 1
# **Fermi-level density of states**: 0.00 states/eV/atom
# **Uncorrected energy**: -26.140 eV per atom
# **ΔE_f (raw)**: -36.8 eV/f.u.


# BaHfOs3 meta-GGA SCAN PBEsol geometry
data_BaHfOs3
_cell_length_a 4.9056
_cell_length_b 4.9056
_cell_length_c 4.9056
_cell_angle_alpha 90.00
_cell_angle_beta 90.00
_cell_angle_gamma 90.00
_space_group_name_H-M_alt 'P m -3 m'
_space_group_IT_number 221
_space_group_name_Hall '-P 4 2 3'
loop_
_atom_site_label
_atom_site_type_symbol
_atom_site_fract_x
_atom_site_fract_y
_atom_site_fract_z
_atom_site_occupancy
Ba1 Ba 0.0000 0.0000 0.0000 1
Hf1 Hf 0.5000 0.5000 0.5000 1
Os1 Os 0.0000 0.5000 0.5000 1
# **Fermi-level density of states**: 1.30 states/eV/atom
# **E_form**: 1.614 eV/atom
# **Uncorrected energy**: -61.958 eV per atom


# BaHfP2Os meta-GGA SCAN PBEsol geometry
data_BaHfP2Os
_cell_length_a 5.0757
_cell_length_b 5.0757
_cell_length_c 5.4526
_cell_angle_alpha 90.00
_cell_angle_beta 90.00
_cell_angle_gamma 90.00
_space_group_name_H-M_alt 'P 4/m m m'
_space_group_IT_number 123
_space_group_name_Hall '-P 4 2'
loop_
_atom_site_label
_atom_site_type_symbol
_atom_site_fract_x
_atom_site_fract_y
_atom_site_fract_z
_atom_site_occupancy
Ba1 Ba 0.0000 0.0000 0.0000 1
Hf1 Hf 0.0000 0.0000 0.5000 1
P1 P 0.0000 0.5000 0.0000 1
Os1 Os 0.5000 0.5000 0.5000 1
# **Fermi-level density of states**: 1.07 states/eV/atom
# **E_form**: 2.975 eV/atom
# **Uncorrected energy**: -36.006 eV per atom


# BaHf2TeOs meta-GGA SCAN PBEsol geometry
data_BaHf2TeOs
_cell_length_a 4.9485
_cell_length_b 4.9485
_cell_length_c 6.2548
_cell_angle_alpha 90.00
_cell_angle_beta 90.00
_cell_angle_gamma 90.00
_space_group_name_H-M_alt 'P 4/m m m'
_space_group_IT_number 123
_space_group_name_Hall '-P 4 2'
loop_
_atom_site_label
_atom_site_type_symbol
_atom_site_fract_x
_atom_site_fract_y
_atom_site_fract_z
_atom_site_occupancy
Ba1 Ba 0.0000 0.0000 0.0000 1
Hf1 Hf 0.0000 0.5000 0.5000 1
Te1 Te 0.5000 0.5000 0.0000 1
Os1 Os 0.0000 0.0000 0.5000 1
# **Fermi-level density of states**: 0.70 states/eV/atom
# **Uncorrected energy**: -54.749 eV per atom
# **ΔE_f (raw)**: 0.3 eV/f.u.


# BaHf3P meta-GGA SCAN PBEsol geometry
data_BaHf3P
_cell_length_a 5.1871
_cell_length_b 5.1871
_cell_length_c 5.1871
_cell_angle_alpha 90.00
_cell_angle_beta 90.00
_cell_angle_gamma 90.00
_space_group_name_H-M_alt 'P m -3 m'
_space_group_IT_number 221
_space_group_name_Hall '-P 4 2 3'
loop_
_atom_site_label
_atom_site_type_symbol
_atom_site_fract_x
_atom_site_fract_y
_atom_site_fract_z
_atom_site_occupancy
Ba1 Ba 0.0000 0.0000 0.0000 1
Hf1 Hf 0.0000 0.0000 0.5000 1
P1 P 0.5000 0.5000 0.5000 1
# **Fermi-level density of states**: 1.59 states/eV/atom
# **E_form**: 2.440 eV/atom
# **Uncorrected energy**: -45.154 eV per atom


# Ba3HfPd meta-GGA SCAN PBEsol geometry
data_Ba3HfPd
_cell_length_a 5.9588
_cell_length_b 5.9588
_cell_length_c 5.9588
_cell_angle_alpha 90.00
_cell_angle_beta 90.00
_cell_angle_gamma 90.00
_space_group_name_H-M_alt 'P m -3 m'
_space_group_IT_number 221
_space_group_name_Hall '-P 4 2 3'
loop_
_atom_site_label
_atom_site_type_symbol
_atom_site_fract_x
_atom_site_fract_y
_atom_site_fract_z
_atom_site_occupancy
Ba1 Ba 0.0000 0.0000 0.5000 1
Hf1 Hf 0.5000 0.5000 0.5000 1
Pd1 Pd 0.0000 0.0000 0.0000 1
# **Fermi-level density of states**: 1.66 states/eV/atom
# **E_form**: 0.492 eV/atom
# **Uncorrected energy**: -42.328 eV per atom


# Ba2HfPdSe meta-GGA SCAN PBEsol geometry
data_Ba2HfPdSe
_cell_length_a 6.1196
_cell_length_b 6.1196
_cell_length_c 4.7074
_cell_angle_alpha 90.00
_cell_angle_beta 90.00
_cell_angle_gamma 90.00
_space_group_name_H-M_alt 'P 4/m m m'
_space_group_IT_number 123
_space_group_name_Hall '-P 4 2'
loop_
_atom_site_label
_atom_site_type_symbol
_atom_site_fract_x
_atom_site_fract_y
_atom_site_fract_z
_atom_site_occupancy
Ba1 Ba 0.0000 0.5000 0.0000 1
Hf1 Hf 0.0000 0.0000 0.0000 1
Pd1 Pd 0.0000 0.0000 0.5000 1
Se1 Se 0.5000 0.5000 0.5000 1
# **Fermi-level density of states**: 0.82 states/eV/atom
# **Uncorrected energy**: -38.869 eV per atom
# **ΔE_f (raw)**: 0.3 eV/f.u.